Entry from the Alexandria database: a relaxed IrOs crystal (PBE).

Summary:
Its energy of formation from the pure elements is 1.97 kJ/mol of atoms. As for the raw total energy: -20.050 eV/f.u. As for the calculated density: 22.06 Mg/m³.

Unit cell a=4.3820 b=2.7514 c=4.7765 alpha=90.00 beta=90.00 gamma=90.00
With the nearest neighbours (Å) after each atom.
Space group Pmma (No. 51)
Inequivalent atoms, fractional coordinates:
Ir 0.2500 0.0000 0.1667 (multiplicity 2)  4 Ir 2.71-2.75, 8 Os 2.71-2.76
Os 0.2500 0.5000 0.6647 (multiplicity 2)  4 Os 2.70-2.75, 8 Ir 2.71-2.76